! AcAg, relaxed, DFT PBE-GGA; values from VASP
! Calculated total energy   -3.5767 eV/atom
! Mass density   7.8 g cm⁻³
! Formation energy   -0.19 eV per formula unit
! Volume   70.9 Å³ per cell
! D(E_F)   2.6 states/eV per cell
! Space group   Fm-3m, No. 225
! Spin magnetization   0.4 μB per cell
&SYSTEM
  ibrav = 0, nat = 2, ntyp = 2
/
ATOMIC_SPECIES
Ac 227.00 Ac.upf
Ag 107.87 Ag.upf
CELL_PARAMETERS angstrom
0.0000 3.2858 3.2858
3.2858 0.0000 3.2858
3.2858 3.2858 0.0000
ATOMIC_POSITIONS crystal
Ac 0.0000 0.0000 0.0000
Ag 0.5000 0.5000 0.5000